GdHoIr2 | Alexandria | SCAN | PBEsol geometry; SG = Fm-3m (225); E_tot = -63.42 eV per atom; density = 15.1 g/cm3; DOS at the Fermi energy = 1.494 states/eV/f.u.; size of the total moment = 6.84 μB per cell
1.0
4.7860 0.0000 0.0000
2.3930 4.1448 0.0000
2.3930 1.3816 3.9077
Ir Ho Gd
2 1 1
Direct
0.7500 0.7500 0.7500
0.2500 0.2500 0.2500
0.0000 0.0000 0.0000
0.5000 0.5000 0.5000